## Bi3PtCl (GGA-PBEsol)

Data for an optimized crystal structure of Bi3PtCl.

As for the formation energy without anion corrections: 97.8 kJ/mol of atoms. For the uncorrected energy, the calculation gives -3.352 eV/atom. As for the mass density: 9.7 g/cm³. The magnetization comes out at 0.00 μB per formula unit.

Unit cell a=5.2727 b=5.2727 c=5.2727 alpha=90.00 beta=90.00 gamma=90.00
Space group Pm-3m (No. 221)
Symmetry-distinct sites (fractional):
Bi: 0.0000 0.0000 0.5000 (multiplicity 3)
Pt: 0.5000 0.5000 0.5000 (multiplicity 1)
Cl: 0.0000 0.0000 0.0000 (multiplicity 1)